LiDyAlPd | GGA-PBE | optimized geometry

Lattice parameters (Å, degrees): 4.688 4.688 4.688 60.00 60.00 60.00
Element x y z (fractional)
Li1 0.000 0.000 0.000
Dy1 0.250 0.250 0.250
Al1 0.750 0.750 0.750
Pd1 0.500 0.500 0.500

Output
As for the calculated volume: 73 Å³ per cell. As for the energy above the most stable polymorph in this dataset: 0.0000 eV/atom. For the magnetization, the calculation gives 0.000 μB per formula unit. For the energy of formation from the pure elements, the calculation gives -0.58 eV per atom.